Computed, not measured: a relaxed In4Br2F crystal at the PBE level of DFT.

Geometry as CIF:
```
data_In4Br2F
_space_group_name_H-M_alt 'P 1'
_space_group_IT_number 1
_cell_length_a 9.900
_cell_length_b 9.900
_cell_length_c 9.900
_cell_angle_alpha 151.35
_cell_angle_beta 151.35
_cell_angle_gamma 40.96
loop_
_space_group_symop_operation_xyz
'x,y,z'
loop_
_atom_site_label
_atom_site_type_symbol
_atom_site_fract_x
_atom_site_fract_y
_atom_site_fract_z
In1 In 0.000 0.500 0.500
In2 In 0.159 0.159 0.000
In3 In 0.500 0.000 0.500
In4 In 0.841 0.841 0.000
Br1 Br 0.319 0.319 0.000
Br2 Br 0.681 0.681 0.000
F1 F 0.500 0.500 0.000
```

## Properties
DOS at the Fermi energy = 2.32 states/eV per cell
space group = I4/mmm

=====

Computed, not measured: a relaxed In2Br2F crystal at the PBE level of DFT.

Geometry as CIF:
```
data_In2Br2F
_space_group_name_H-M_alt 'P 1'
_space_group_IT_number 1
_cell_length_a 8.366
_cell_length_b 9.986
_cell_length_c 9.226
_cell_angle_alpha 90.00
_cell_angle_beta 111.88
_cell_angle_gamma 90.00
loop_
_space_group_symop_operation_xyz
'x,y,z'
loop_
_atom_site_label
_atom_site_type_symbol
_atom_site_fract_x
_atom_site_fract_y
_atom_site_fract_z
In1 In 0.020 0.021 0.242
In2 In 0.020 0.479 0.742
In3 In 0.429 0.080 0.646
In4 In 0.429 0.420 0.146
In5 In 0.571 0.580 0.854
In6 In 0.571 0.920 0.354
In7 In 0.980 0.521 0.258
In8 In 0.980 0.979 0.758
Br1 Br 0.079 0.192 0.538
Br2 Br 0.079 0.308 0.038
Br3 Br 0.438 0.662 0.290
Br4 Br 0.438 0.838 0.790
Br5 Br 0.562 0.162 0.210
Br6 Br 0.562 0.338 0.710
Br7 Br 0.921 0.692 0.962
Br8 Br 0.921 0.808 0.462
F1 F 0.329 0.502 0.904
F2 F 0.329 0.998 0.404
F3 F 0.671 0.002 0.596
F4 F 0.671 0.498 0.096
```

## Properties
offset from the most stable computed form = 0.000 eV per atom
space group = P2_1/c

=====

Computed, not measured: a relaxed KInBr2F crystal at the PBE level of DFT.

Geometry as CIF:
```
data_KInBr2F
_space_group_name_H-M_alt 'P 1'
_space_group_IT_number 1
_cell_length_a 5.792
_cell_length_b 5.792
_cell_length_c 4.503
_cell_angle_alpha 90.00
_cell_angle_beta 90.00
_cell_angle_gamma 90.00
loop_
_space_group_symop_operation_xyz
'x,y,z'
loop_
_atom_site_label
_atom_site_type_symbol
_atom_site_fract_x
_atom_site_fract_y
_atom_site_fract_z
K1 K 0.000 0.000 0.000
In1 In 0.500 0.500 0.500
Br1 Br 0.000 0.500 0.500
Br2 Br 0.500 0.000 0.500
F1 F 0.500 0.500 0.000
```

## Properties
DOS at the Fermi energy = 1.27 states/eV per cell
space group = P4/mmm

=====

Computed, not measured: a relaxed KIn2BrF2 crystal at the PBE level of DFT.

Geometry as CIF:
```
data_KIn2BrF2
_space_group_name_H-M_alt 'P 1'
_space_group_IT_number 1
_cell_length_a 6.969
_cell_length_b 7.259
_cell_length_c 7.770
_cell_angle_alpha 90.00
_cell_angle_beta 114.41
_cell_angle_gamma 90.00
loop_
_space_group_symop_operation_xyz
'x,y,z'
loop_
_atom_site_label
_atom_site_type_symbol
_atom_site_fract_x
_atom_site_fract_y
_atom_site_fract_z
K1 K 0.210 0.250 0.034
K2 K 0.790 0.750 0.966
In1 In 0.289 0.010 0.589
In2 In 0.289 0.490 0.589
In3 In 0.711 0.510 0.411
In4 In 0.711 0.990 0.411
Br1 Br 0.326 0.750 0.091
Br2 Br 0.674 0.250 0.909
F1 F 0.123 0.250 0.678
F2 F 0.266 0.250 0.384
F3 F 0.734 0.750 0.616
F4 F 0.877 0.750 0.322
```

## Properties
DOS at the Fermi energy = 0.00 states/eV per cell
space group = P2_1/m

=====

In the order shown, the computed energy values come out to -20.92, -16.10, -16.72, -21.89 eV/f.u..
In the order shown, the computed energy relative to the elements, uncorrected values come out to -0.68, -1.08, -1.53, -1.65 eV/atom.